[1]
Density functional theory data (GGA-PBE) for an optimized crystal structure of TiFeRu.

The energy above the most stable polymorph in this dataset comes out at 0.000 eV/atom. The value obtained for the energy of formation is -0.27 eV/atom.

The structure belongs to space group I4mm (No. 107); the cell edges are 3.049, 3.049 and 9.012 Å and the angles 90.00°, 90.00° and 90.00°. The distinct sites, in fractional coordinates, are Ti at (0.000, 0.000, 0.000), Fe at (0.000, 0.000, 0.668) and Ru at (0.000, 0.000, 0.335).

[2]
Density functional theory data (GGA-PBE) for an optimized crystal structure of LiCaW2.

The energy above the most stable polymorph in this dataset comes out at 0.324 eV/atom. The value obtained for the energy of formation is 0.84 eV/atom.

The structure belongs to space group P4/mmm (No. 123); the cell edges are 2.689, 2.689 and 9.938 Å and the angles 90.00°, 90.00° and 90.00°. The distinct sites, in fractional coordinates, are Li at (0.000, 0.000, 0.000), Ca at (0.000, 0.000, 0.500) and W at (0.500, 0.500, 0.234).

[3]
Density functional theory data (GGA-PBE) for an optimized crystal structure of TaCuPd3.

The energy above the most stable polymorph in this dataset comes out at 0.000 eV/atom. The value obtained for the energy of formation is -0.10 eV/atom.

The structure belongs to space group Pnma (No. 62); the cell edges are 5.583, 7.713 and 7.362 Å and the angles 90.00°, 90.00° and 90.00°. The distinct sites, in fractional coordinates, are Ta at (0.198, 0.250, 0.012), Cu at (0.000, 0.000, 0.500), Pd at (0.114, 0.562, 0.822) and Pd at (0.228, 0.750, 0.154).

[4]
Density functional theory data (GGA-PBE) for an optimized crystal structure of CrHg2Br.

The energy above the most stable polymorph in this dataset comes out at 0.201 eV/atom. As for the energy relative to the elements, uncorrected: 225 meV/atom.

The structure belongs to space group P4/mmm (No. 123); the cell edges are 3.476, 3.476 and 7.821 Å and the angles 90.00°, 90.00° and 90.00°. The distinct sites, in fractional coordinates, are Cr at (0.000, 0.000, 0.000), Hg at (0.500, 0.500, 0.223) and Br at (0.000, 0.000, 0.500).

[5]
Density functional theory data (GGA-PBE) for an optimized crystal structure of BeCoB.

The energy above the most stable polymorph in this dataset comes out at 0.000 eV/atom. The value obtained for the energy of formation is -0.25 eV/atom.

The structure belongs to space group C2/m (No. 12); the cell edges are 8.765, 2.926 and 3.732 Å and the angles 90.00°, 98.65° and 90.00°. The distinct sites, in fractional coordinates, are Be at (0.074, 0.000, 0.278), Co at (0.132, 0.500, 0.826) and B at (0.234, 0.500, 0.359).

[6]
Density functional theory data (GGA-PBE) for an optimized crystal structure of ReSi2Sb.

As for the energy relative to the elements, uncorrected: 777 meV/atom.

The structure belongs to space group Pmmm (No. 47); the cell edges are 3.223, 4.284 and 4.944 Å and the angles 90.00°, 90.00° and 90.00°. The distinct sites, in fractional coordinates, are Re at (0.000, 0.000, 0.000), Si at (0.000, 0.500, 0.500), Si at (0.500, 0.500, 0.000) and Sb at (0.500, 0.000, 0.500).

[7]
Density functional theory data (GGA-PBE) for an optimized crystal structure of InB2SbH.

As for the electronic total energy: -13.16 eV per formula unit.

The structure belongs to space group P4/mmm (No. 123); the cell edges are 4.340, 4.340 and 6.131 Å and the angles 90.00°, 90.00° and 90.00°. The distinct sites, in fractional coordinates, are In at (0.000, 0.000, 0.000), B at (0.000, 0.500, 0.000), Sb at (0.000, 0.000, 0.500) and H at (0.500, 0.500, 0.500).

[8]
Density functional theory data (GGA-PBE) for an optimized crystal structure of ZnRu2.

The value obtained for the energy of formation is 0.04 eV/atom.

The structure belongs to space group Cmcm (No. 63); the cell edges are 2.742, 13.963 and 4.401 Å and the angles 90.00°, 90.00° and 90.00°. The distinct sites, in fractional coordinates, are Zn at (0.000, 0.222, 0.250), Ru at (0.000, 0.108, 0.750) and Ru at (0.000, 0.448, 0.750).

[9]
Density functional theory data (GGA-PBE) for an optimized crystal structure of NaMg2AlCu.

The value obtained for the energy of formation is 0.08 eV/atom.

The structure belongs to space group P4/mmm (No. 123); the cell edges are 4.974, 4.974 and 4.658 Å and the angles 90.00°, 90.00° and 90.00°. The distinct sites, in fractional coordinates, are Na at (0.000, 0.000, 0.000), Mg at (0.000, 0.500, 0.500), Al at (0.500, 0.500, 0.000) and Cu at (0.500, 0.500, 0.500).

[10]
Density functional theory data (GGA-PBE) for an optimized crystal structure of CsKAg.

The energy above the most stable polymorph in this dataset comes out at 0.057 eV/atom. The value obtained for the energy of formation is 0.07 eV/atom.

The structure belongs to space group Fddd (No. 70, origin choice 2); the cell edges are 7.128, 13.561 and 25.459 Å and the angles 90.00°, 90.00° and 90.00°. The distinct sites, in fractional coordinates, are Cs at (0.125, 0.281, 0.125), K at (0.125, 0.125, 0.532) and Ag at (0.125, 0.125, 0.251).

[11]
Density functional theory data (GGA-PBE) for an optimized crystal structure of MnTc3C.

The energy above the most stable polymorph in this dataset comes out at 0.000 eV/atom. The value obtained for the energy of formation is 0.30 eV/atom.

The structure belongs to space group Pm-3m (No. 221); the cell edges are 4.008, 4.008 and 4.008 Å and the angles 90.00°, 90.00° and 90.00°. The distinct sites, in fractional coordinates, are Mn at (0.000, 0.000, 0.000), Tc at (0.000, 0.500, 0.500) and C at (0.500, 0.500, 0.500).

[12]
Density functional theory data (GGA-PBE) for an optimized crystal structure of Ti2SbC.

As for the energy relative to the elements, uncorrected: -210 meV/atom.

The structure belongs to space group I-42d (No. 122); the cell edges are 6.424, 6.424 and 6.460 Å and the angles 90.00°, 90.00° and 90.00°. The distinct sites, in fractional coordinates, are Ti at (0.148, 0.250, 0.125), Sb at (0.000, 0.000, 0.500) and C at (0.000, 0.000, 0.000).

no.,density of states at the Fermi level (states/eV/cell)
1,3.1
2,5.6
3,7.3
4,2.5
5,7.7
6,3.1
7,2.8
8,12.1
9,2.0
10,22.4
11,8.0
12,8.6